[1]
# GGA+U Ca2CrIrO6, optimized geometry
data_Ca2CrIrO6
_cell_length_a 5.573
_cell_length_b 5.396
_cell_length_c 9.421
_cell_angle_alpha 55.00
_cell_angle_beta 90.00
_cell_angle_gamma 90.00
_space_group_name_H-M_alt 'P 1'
_space_group_IT_number 1
loop_
_space_group_symop_operation_xyz
'x,y,z'
loop_
_atom_site_label
_atom_site_type_symbol
_atom_site_fract_x
_atom_site_fract_y
_atom_site_fract_z
O1 O 0.299 0.846 0.452
O2 O 0.201 0.846 0.952
O3 O 0.797 0.746 0.451
Cr1 Cr 0.000 0.000 0.500
O4 O 0.471 0.655 0.252
O5 O 0.703 0.746 0.951
O6 O 0.203 0.254 0.549
O7 O 0.529 0.345 0.748
Cr2 Cr 0.500 0.000 0.000
O8 O 0.297 0.254 0.049
O9 O 0.799 0.154 0.048
Ca1 Ca 0.055 0.764 0.249
Ir1 Ir 0.000 0.500 0.000
Ir2 Ir 0.500 0.500 0.500
Ca2 Ca 0.945 0.236 0.751
Ca3 Ca 0.555 0.236 0.251
O10 O 0.701 0.154 0.548
Ca4 Ca 0.445 0.764 0.749
O11 O 0.971 0.345 0.248
O12 O 0.029 0.655 0.752
# **Uncorrected energy**: -139.93 eV/cell
# **Total magnetic moment**: 0.10 μB/atom
# **Space group**: P2_1/c, No. 14
# **DOS(E_F)**: 0.40 states/eV per atom

[2]
# GGA+U CaCr2IrO8, optimized geometry
data_CaCr2IrO8
_cell_length_a 4.695
_cell_length_b 4.666
_cell_length_c 6.288
_cell_angle_alpha 90.00
_cell_angle_beta 90.00
_cell_angle_gamma 88.33
_space_group_name_H-M_alt 'P 1'
_space_group_IT_number 1
loop_
_space_group_symop_operation_xyz
'x,y,z'
loop_
_atom_site_label
_atom_site_type_symbol
_atom_site_fract_x
_atom_site_fract_y
_atom_site_fract_z
Ca1 Ca 0.000 0.000 0.500
O1 O 0.208 0.786 0.786
Cr1 Cr 0.500 0.500 0.743
O2 O 0.792 0.214 0.786
Ir1 Ir 0.000 0.000 0.000
O3 O 0.208 0.786 0.214
O4 O 0.332 0.324 0.500
O5 O 0.792 0.214 0.214
Cr2 Cr 0.500 0.500 0.257
O6 O 0.668 0.676 0.500
O7 O 0.296 0.290 0.000
O8 O 0.704 0.710 0.000
# **Uncorrected energy**: -82.78 eV/cell
# **Total magnetic moment**: 0.28 μB/atom
# **Space group**: P2/m, No. 10
# **DOS(E_F)**: 0.44 states/eV per atom

[3]
# GGA+U CaCrIrO6, optimized geometry
data_CaCrIrO6
_cell_length_a 5.180
_cell_length_b 5.180
_cell_length_c 9.997
_cell_angle_alpha 90.00
_cell_angle_beta 90.00
_cell_angle_gamma 120.00
_space_group_name_H-M_alt 'P 1'
_space_group_IT_number 1
loop_
_space_group_symop_operation_xyz
'x,y,z'
loop_
_atom_site_label
_atom_site_type_symbol
_atom_site_fract_x
_atom_site_fract_y
_atom_site_fract_z
O1 O 0.366 0.993 0.644
O2 O 0.627 0.993 0.856
Ir1 Ir 0.667 0.333 0.250
O3 O 0.627 0.634 0.644
O4 O 0.993 0.627 0.356
O5 O 0.007 0.634 0.856
O6 O 0.634 0.627 0.144
O7 O 0.634 0.007 0.356
O8 O 0.993 0.366 0.144
Ca1 Ca 0.000 0.000 0.500
Ir2 Ir 0.333 0.667 0.750
Cr1 Cr 0.667 0.333 0.750
O9 O 0.007 0.373 0.644
O10 O 0.373 0.007 0.144
Cr2 Cr 0.333 0.667 0.250
O11 O 0.366 0.373 0.856
Ca2 Ca 0.000 0.000 0.000
O12 O 0.373 0.366 0.356
# **Uncorrected energy**: -123.56 eV/cell
# **Total magnetic moment**: 0.11 μB/atom
# **Space group**: P-31c, No. 163
# **DOS(E_F)**: 0.54 states/eV per atom

Repeat the second record exactly.
# GGA+U CaCr2IrO8, optimized geometry
data_CaCr2IrO8
_cell_length_a 4.695
_cell_length_b 4.666
_cell_length_c 6.288
_cell_angle_alpha 90.00
_cell_angle_beta 90.00
_cell_angle_gamma 88.33
_space_group_name_H-M_alt 'P 1'
_space_group_IT_number 1
loop_
_space_group_symop_operation_xyz
'x,y,z'
loop_
_atom_site_label
_atom_site_type_symbol
_atom_site_fract_x
_atom_site_fract_y
_atom_site_fract_z
Ca1 Ca 0.000 0.000 0.500
O1 O 0.208 0.786 0.786
Cr1 Cr 0.500 0.500 0.743
O2 O 0.792 0.214 0.786
Ir1 Ir 0.000 0.000 0.000
O3 O 0.208 0.786 0.214
O4 O 0.332 0.324 0.500
O5 O 0.792 0.214 0.214
Cr2 Cr 0.500 0.500 0.257
O6 O 0.668 0.676 0.500
O7 O 0.296 0.290 0.000
O8 O 0.704 0.710 0.000
# **Uncorrected energy**: -82.78 eV/cell
# **Total magnetic moment**: 0.28 μB/atom
# **Space group**: P2/m, No. 10
# **DOS(E_F)**: 0.44 states/eV per atom

What is the formula in the second record?
CaCr2IrO8

Number 3 is which compound?
CaCrIrO6

What did the third record say?
# GGA+U CaCrIrO6, optimized geometry
data_CaCrIrO6
_cell_length_a 5.180
_cell_length_b 5.180
_cell_length_c 9.997
_cell_angle_alpha 90.00
_cell_angle_beta 90.00
_cell_angle_gamma 120.00
_space_group_name_H-M_alt 'P 1'
_space_group_IT_number 1
loop_
_space_group_symop_operation_xyz
'x,y,z'
loop_
_atom_site_label
_atom_site_type_symbol
_atom_site_fract_x
_atom_site_fract_y
_atom_site_fract_z
O1 O 0.366 0.993 0.644
O2 O 0.627 0.993 0.856
Ir1 Ir 0.667 0.333 0.250
O3 O 0.627 0.634 0.644
O4 O 0.993 0.627 0.356
O5 O 0.007 0.634 0.856
O6 O 0.634 0.627 0.144
O7 O 0.634 0.007 0.356
O8 O 0.993 0.366 0.144
Ca1 Ca 0.000 0.000 0.500
Ir2 Ir 0.333 0.667 0.750
Cr1 Cr 0.667 0.333 0.750
O9 O 0.007 0.373 0.644
O10 O 0.373 0.007 0.144
Cr2 Cr 0.333 0.667 0.250
O11 O 0.366 0.373 0.856
Ca2 Ca 0.000 0.000 0.000
O12 O 0.373 0.366 0.356
# **Uncorrected energy**: -123.56 eV/cell
# **Total magnetic moment**: 0.11 μB/atom
# **Space group**: P-31c, No. 163
# **DOS(E_F)**: 0.54 states/eV per atom